A relaxed structure of Ce2PtCl. Source: the Alexandria database, functional PBE.

a b c (Å): 4.1570 4.1570 7.4659
angles (deg): 73.84 73.84 60.00
Closest atoms and distances in Å follow each position.
Fractional coordinates of all 4 atoms:
Ce 0.2583 0.2583 0.2252  3 Pt 2.88, 3 Cl 3.09
Ce 0.7417 0.7417 0.7748  3 Pt 2.88, 3 Cl 3.09
Pt 0.0000 0.0000 0.0000  6 Ce 2.88
Cl 0.5000 0.5000 0.5000  6 Ce 3.09

Results
Polymorph energy (0 for the lowest one) in meV per atom: 12
Mass density in g/cm³: 8.017
Formation energy from raw total energies in eV/f.u.: -4.94
Magnetization in μB per formula unit: 2.251
Energy in eV/atom: -6.174
Space group: R-3m, No. 166
Density of states at the Fermi level in states/eV per cell: 12.8